(1)
An optimized crystal structure of Sc3Si3Mo2, computed with PBE-GGA.

Cell and atoms, written as CIF:
```
data_Sc3Si3Mo2
_chemical_formula_sum 'Sc6 Si6 Mo4'
_cell_length_a 7.7001
_cell_length_b 7.7001
_cell_length_c 5.2748
_cell_angle_alpha 90.00
_cell_angle_beta 90.00
_cell_angle_gamma 120.00
_symmetry_space_group_name_H-M 'P 63/m c m'
_symmetry_Int_Tables_number 193
_symmetry_space_group_name_Hall '-P 6c 2'
loop_
_atom_site_label
_atom_site_type_symbol
_atom_site_fract_x
_atom_site_fract_y
_atom_site_fract_z
_atom_site_occupancy
Sc1 Sc 0.0000 0.2492 0.2500 1
Si1 Si 0.0000 0.3992 0.7500 1
Mo1 Mo 0.3333 0.6667 0.0000 1
```

Values from the calculation:
E_form (uncorrected): -0.69 eV per atom
theoretical density: 5.04 g/cm³
total magnetic moment: 0.000 μB/atom

***

(2)
An optimized crystal structure of Ca2TaSb, computed with PBE-GGA.

Cell and atoms, written as CIF:
```
data_Ca2TaSb
_chemical_formula_sum 'Ca4 Ta2 Sb2'
_cell_length_a 4.5754
_cell_length_b 4.5754
_cell_length_c 9.8050
_cell_angle_alpha 90.00
_cell_angle_beta 90.00
_cell_angle_gamma 90.00
_symmetry_space_group_name_H-M 'I -4 m 2'
_symmetry_Int_Tables_number 119
_symmetry_space_group_name_Hall 'I -4 -2'
loop_
_atom_site_label
_atom_site_type_symbol
_atom_site_fract_x
_atom_site_fract_y
_atom_site_fract_z
_atom_site_occupancy
Ca1 Ca 0.0000 0.0000 0.0000 1
Ca2 Ca 0.0000 0.5000 0.2500 1
Ta1 Ta 0.0000 0.0000 0.5000 1
Sb1 Sb 0.0000 0.5000 0.7500 1
```

Values from the calculation:
E_form (uncorrected): 0.25 eV per atom
theoretical density: 6.19 g/cm³
total magnetic moment: 0.366 μB/atom

***

(3)
An optimized crystal structure of Ga12Sn3As5, computed with PBE-GGA.

Cell and atoms, written as CIF:
```
data_Ga12Sn3As5
_chemical_formula_sum 'Ga96 Sn24 As40'
_cell_length_a 15.8353
_cell_length_b 15.8353
_cell_length_c 15.8353
_cell_angle_alpha 90.00
_cell_angle_beta 90.00
_cell_angle_gamma 90.00
_symmetry_space_group_name_H-M 'I a -3 d'
_symmetry_Int_Tables_number 230
_symmetry_space_group_name_Hall '-I 4bd 2c 3'
loop_
_atom_site_label
_atom_site_type_symbol
_atom_site_fract_x
_atom_site_fract_y
_atom_site_fract_z
_atom_site_occupancy
Ga1 Ga 0.0174 0.0695 0.6542 1
Sn1 Sn 0.0000 0.2500 0.1250 1
As1 As 0.0000 0.0000 0.0000 1
As2 As 0.0000 0.2500 0.3750 1
```

Values from the calculation:
formation enthalpy at 0 K: 0.04 eV/atom
theoretical density: 5.24 g/cm³
total magnetic moment: 0.000 μB/atom